The following is a DFT calculation (PBE with a Hubbard U) of an optimized crystal structure of LiFeAsCO7.

Results
crystal system = monoclinic
VASP energy = -6.43 eV/atom
theoretical density = 2.781 Mg/m³

Unit cell a=5.470 b=6.583 c=8.692 alpha=90.00 beta=92.96 gamma=90.00
Space group P2_1 (No. 4)
Asymmetric unit:
1 Li 0.244 0.000 0.311
2 Fe 0.202 0.341 0.844
3 As 0.283 0.845 0.929
4 C 0.258 0.320 0.555
5 O 0.045 0.343 0.611
6 O 0.145 0.858 0.103
7 O 0.200 0.639 0.819
8 O 0.203 0.047 0.815
9 O 0.283 0.267 0.417
10 O 0.405 0.338 0.030
11 O 0.444 0.346 0.652